Computed, not measured: crystalline MnOF at its relaxed geometry at the PBE with a Hubbard U level of DFT.

Summary:
VASP energy (eV/atom): -6.74
Total moment (μB/f.u.): 4.0
Fermi-level density of states (states/eV per atom): 0.18
Volume (Å³/atom): 11.354

Cell: 4.631 4.631 12.708 Å, 89.97 89.97 90.25°
Sites, in units of the cell vectors:
O 0.179 0.821 0.500
O 0.665 0.695 0.625
O 0.305 0.335 0.375
O 0.193 0.817 0.754
O 0.183 0.807 0.246
O 0.834 0.166 0.000
O 0.339 0.310 0.875
O 0.690 0.661 0.125
F 0.290 0.261 0.125
F 0.711 0.742 0.375
F 0.793 0.217 0.258
F 0.739 0.710 0.875
F 0.258 0.289 0.625
F 0.237 0.763 0.000
F 0.783 0.207 0.742
F 0.780 0.220 0.500
Mn 0.041 0.019 0.374
Mn 0.540 0.460 0.000
Mn 0.475 0.525 0.500
Mn 0.983 0.959 0.124
Mn 0.041 0.017 0.876
Mn 0.481 0.520 0.751
Mn 0.480 0.519 0.249
Mn 0.981 0.959 0.626